## Y2NiP3Rh4 (GGA-PBE)

Data for Y2NiP3Rh4 after structural relaxation.

abc: 4.059 4.059 9.771
angles: 90.00 90.00 90.00
Space group P-4m2 (No. 115)
Inequivalent atoms, fractional coordinates:
Y: 0.000 0.500 0.240 x2
Ni: 0.500 0.500 0.000 x1
P: 0.000 0.000 0.000 x1
P: 0.000 0.500 0.637 x2
Rh: 0.000 0.000 0.500 x1
Rh: 0.000 0.500 0.869 x2
Rh: 0.500 0.500 0.500 x1

Summary:
The formation energy comes out at -0.982 eV per atom. The calculation puts the density of states at the Fermi level at 7.379 states/eV per cell.

## NiP2Ru2 (GGA-PBE)

Data for NiP2Ru2 after structural relaxation.

abc: 6.724 6.724 2.829
angles: 90.00 90.00 90.00
Space group P4/mbm (No. 127)
Inequivalent atoms, fractional coordinates:
Ni: 0.000 0.000 0.000 x2
P: 0.153 0.347 0.000 x4
Ru: 0.146 0.646 0.500 x4

Summary:
The formation energy comes out at -0.241 eV per atom. The calculation puts the density of states at the Fermi level at 5.420 states/eV per cell.

## NiP2Ru (GGA-PBE)

Data for NiP2Ru after structural relaxation.

abc: 3.254 3.254 4.817
angles: 90.00 90.00 90.00
Space group P4mm (No. 99)
Inequivalent atoms, fractional coordinates:
Ni: 0.000 0.000 0.000 x1
P: 0.000 0.000 0.479 x1
P: 0.500 0.500 0.123 x1
Ru: 0.500 0.500 0.637 x1

Summary:
The formation energy comes out at -0.314 eV per atom. The calculation puts the density of states at the Fermi level at 1.925 states/eV per cell.

## Ni2PRu (GGA-PBE)

Data for Ni2PRu after structural relaxation.

abc: 3.820 3.820 6.388
angles: 90.00 90.00 90.00
Space group I-4m2 (No. 119)
Inequivalent atoms, fractional coordinates:
Ni: 0.000 0.000 0.000 x2
Ni: 0.000 0.500 0.250 x2
P: 0.000 0.500 0.750 x2
Ru: 0.000 0.000 0.500 x2

Summary:
The formation energy comes out at -0.137 eV per atom. The calculation puts the density of states at the Fermi level at 9.177 states/eV per cell.

## NiP3Ru (GGA-PBE)

Data for NiP3Ru after structural relaxation.

abc: 4.281 4.281 4.281
angles: 90.00 90.00 90.00
Space group Pm-3m (No. 221)
Inequivalent atoms, fractional coordinates:
Ni: 0.000 0.000 0.000 x1
P: 0.000 0.000 0.500 x3
Ru: 0.500 0.500 0.500 x1

Summary:
The formation energy comes out at 0.810 eV per atom. The calculation puts the density of states at the Fermi level at 4.691 states/eV per cell.

## NiP2Ru (GGA-PBE)

Data for NiP2Ru after structural relaxation.

abc: 2.9856 2.9856 20.9285
angles: 90.00 90.00 120.00
Space group R3m (No. 160, hexagonal axes)
Inequivalent atoms, fractional coordinates:
Ni: 0.0000 0.0000 0.0000 x3
P: 0.0000 0.0000 0.4890 x3
P: 0.0000 0.0000 0.7306 x3
Ru: 0.0000 0.0000 0.2282 x3

Summary:
The formation energy comes out at -0.119 eV per atom. The calculation puts the density of states at the Fermi level at 6.537 states/eV per cell.

## NiP6Ru (GGA-PBE)

Data for NiP6Ru after structural relaxation.

abc: 11.159 7.971 7.938
angles: 90.00 134.62 90.00
Space group C2/m (No. 12)
Inequivalent atoms, fractional coordinates:
Ni: 0.250 0.250 0.000 x4
P: 0.002 0.142 0.855 x8
P: 0.142 0.354 0.646 x8
P: 0.145 0.500 0.285 x4
P: 0.146 0.500 0.002 x4
Ru: 0.250 0.250 0.500 x4

Summary:
The formation energy comes out at -0.403 eV per atom. The calculation puts the density of states at the Fermi level at 3.150 states/eV per cell.

## NiP2Ru (GGA-PBE)

Data for NiP2Ru after structural relaxation.

abc: 5.350 7.651 3.776
angles: 90.00 134.38 90.00
Space group C2/m (No. 12)
Inequivalent atoms, fractional coordinates:
Ni: 0.000 0.000 0.000 x2
P: 0.250 0.250 0.000 x4
Ru: 0.000 0.500 0.000 x2

Summary:
The formation energy comes out at 0.092 eV per atom. The calculation puts the density of states at the Fermi level at 7.972 states/eV per cell.

## NiP2Ru (GGA-PBE)

Data for NiP2Ru after structural relaxation.

abc: 2.967 2.967 5.619
angles: 90.00 90.00 90.00
Space group P4/mmm (No. 123)
Inequivalent atoms, fractional coordinates:
Ni: 0.000 0.000 0.000 x1
P: 0.500 0.500 0.238 x2
Ru: 0.000 0.000 0.500 x1

Summary:
The formation energy comes out at -0.102 eV per atom. The calculation puts the density of states at the Fermi level at 2.886 states/eV per cell.

## NiP2Ru (GGA-PBE)

Data for NiP2Ru after structural relaxation.

abc: 5.122 5.122 10.347
angles: 90.00 90.00 90.00
Space group I-42d (No. 122)
Inequivalent atoms, fractional coordinates:
Ni: 0.000 0.000 0.000 x4
P: 0.239 0.250 0.125 x8
Ru: 0.000 0.000 0.500 x4

Summary:
The formation energy comes out at -0.204 eV per atom. The calculation puts the density of states at the Fermi level at 10.267 states/eV per cell.

## Ni2PRu (GGA-PBE)

Data for Ni2PRu after structural relaxation.

abc: 2.7446 2.7446 22.6124
angles: 90.00 90.00 120.00
Space group R3m (No. 160, hexagonal axes)
Inequivalent atoms, fractional coordinates:
Ni: 0.0000 0.0000 0.0000 x3
Ni: 0.0000 0.0000 0.2450 x3
P: 0.0000 0.0000 0.7397 x3
Ru: 0.0000 0.0000 0.4842 x3

Summary:
The formation energy comes out at -0.031 eV per atom. The calculation puts the density of states at the Fermi level at 15.936 states/eV per cell.

## NiP2Ru (GGA-PBE)

Data for NiP2Ru after structural relaxation.

abc: 5.851 5.851 5.851
angles: 90.00 90.00 90.00
Space group Fm-3m (No. 225)
Inequivalent atoms, fractional coordinates:
Ni: 0.000 0.000 0.000 x4
P: 0.250 0.250 0.250 x8
Ru: 0.000 0.000 0.500 x4

Summary:
The formation energy comes out at -0.040 eV per atom. The calculation puts the density of states at the Fermi level at 14.750 states/eV per cell.

## Ni2PRu (GGA-PBE)

Data for Ni2PRu after structural relaxation.

abc: 2.768 2.768 6.183
angles: 90.00 90.00 90.00
Space group P4/mmm (No. 123)
Inequivalent atoms, fractional coordinates:
Ni: 0.000 0.000 0.213 x2
P: 0.500 0.500 0.000 x1
Ru: 0.500 0.500 0.500 x1

Summary:
The formation energy comes out at 0.009 eV per atom. The calculation puts the density of states at the Fermi level at 3.447 states/eV per cell.

## Ni2PRu (GGA-PBE)

Data for Ni2PRu after structural relaxation.

abc: 2.914 2.914 5.533
angles: 90.00 90.00 90.00
Space group P4mm (No. 99)
Inequivalent atoms, fractional coordinates:
Ni: 0.000 0.000 0.000 x1
Ni: 0.500 0.500 0.241 x1
P: 0.500 0.500 0.780 x1
Ru: 0.000 0.000 0.533 x1

Summary:
The formation energy comes out at -0.121 eV per atom. The calculation puts the density of states at the Fermi level at 5.863 states/eV per cell.

## NiP2Ru (GGA-PBE)

Data for NiP2Ru after structural relaxation.

abc: 2.776 5.019 7.644
angles: 90.00 90.00 90.00
Space group Cmmm (No. 65)
Inequivalent atoms, fractional coordinates:
Ni: 0.000 0.000 0.000 x2
P: 0.000 0.500 0.244 x4
Ru: 0.000 0.000 0.500 x2

Summary:
The formation energy comes out at 0.155 eV per atom. The calculation puts the density of states at the Fermi level at 7.037 states/eV per cell.

## NiP2Ru (GGA-PBE)

Data for NiP2Ru after structural relaxation.

abc: 5.910 5.910 5.910
angles: 90.00 90.00 90.00
Space group F-43m (No. 216)
Inequivalent atoms, fractional coordinates:
Ni: 0.000 0.000 0.000 x4
P: 0.000 0.000 0.500 x4
P: 0.250 0.250 0.250 x4
Ru: 0.250 0.250 0.750 x4

Summary:
The formation energy comes out at 0.366 eV per atom. The calculation puts the density of states at the Fermi level at 17.390 states/eV per cell.

## Ni2PRu (GGA-PBE)

Data for Ni2PRu after structural relaxation.

abc: 2.779 3.754 4.808
angles: 90.00 106.71 90.00
Space group P2/m (No. 10)
Inequivalent atoms, fractional coordinates:
Ni: 0.130 0.000 0.271 x2
P: 0.000 0.500 0.500 x1
Ru: 0.500 0.500 0.000 x1

Summary:
The formation energy comes out at -0.104 eV per atom. The calculation puts the density of states at the Fermi level at 5.888 states/eV per cell.

## Ni2PRu (GGA-PBE)

Data for Ni2PRu after structural relaxation.

abc: 4.757 7.367 2.748
angles: 90.00 90.00 90.00
Space group Cmmm (No. 65)
Inequivalent atoms, fractional coordinates:
Ni: 0.250 0.250 0.000 x4
P: 0.000 0.000 0.500 x2
Ru: 0.000 0.500 0.500 x2

Summary:
The formation energy comes out at -0.047 eV per atom. The calculation puts the density of states at the Fermi level at 5.672 states/eV per cell.

## NiP2Ru (GGA-PBE)

Data for NiP2Ru after structural relaxation.

abc: 7.377 2.932 4.754
angles: 90.00 99.99 90.00
Space group C2/m (No. 12)
Inequivalent atoms, fractional coordinates:
Ni: 0.000 0.000 0.000 x2
P: 0.240 0.000 0.751 x4
Ru: 0.000 0.500 0.500 x2

Summary:
The formation energy comes out at -0.193 eV per atom. The calculation puts the density of states at the Fermi level at 4.159 states/eV per cell.

## Ni2PRu (GGA-PBE)

Data for Ni2PRu after structural relaxation.

abc: 3.447 3.447 17.190
angles: 90.00 90.00 90.00
Space group I-42d (No. 122)
Inequivalent atoms, fractional coordinates:
Ni: 0.237 0.250 0.125 x8
P: 0.000 0.000 0.000 x4
Ru: 0.000 0.000 0.500 x4

Summary:
The formation energy comes out at 0.166 eV per atom. The calculation puts the density of states at the Fermi level at 21.763 states/eV per cell.